# 1
{"formula": "NiAgPt", "functional": "PBE", "state": "optimized geometry", "e_tot_ev_per_atom": -4.832, "magmom_total_mub_per_atom": 0.23, "e_form_ev_per_fu": 0.2, "e_above_lowest_polymorph_ev_per_atom": 0.021, "spacegroup": "No. 8", "lattice": [[9.435, 0.000, 0.000], [0.000, 2.770, 0.000], [-2.983, 0.000, 6.774]], "species": ["Ni", "Ni", "Ni", "Ni", "Ag", "Ag", "Ag", "Ag", "Pt", "Pt", "Pt", "Pt"], "frac_coords": [[0.000, 0.000, 0.000], [0.126, 0.500, 0.828], [0.500, 0.500, 0.000], [0.626, 0.000, 0.828], [0.154, 0.500, 0.325], [0.310, 0.000, 0.693], [0.654, 0.000, 0.325], [0.810, 0.500, 0.693], [0.319, 0.000, 0.126], [0.478, 0.500, 0.500], [0.819, 0.500, 0.126], [0.978, 0.000, 0.500]]}



# 2
{"formula": "KAlCo2", "functional": "PBE", "state": "optimized geometry", "e_tot_ev_per_atom": -4.345, "magmom_total_mub_per_atom": 0.69, "e_form_ev_per_fu": 1.7, "spacegroup": "No. 12", "lattice": [[8.606, 0.000, 0.000], [0.000, 2.908, 0.000], [-0.944, 0.000, 6.672]], "species": ["K", "K", "Al", "Al", "Co", "Co", "Co", "Co"], "frac_coords": [[0.000, 0.000, 0.000], [0.500, 0.500, 0.000], [0.000, 0.500, 0.500], [0.500, 0.000, 0.500], [0.224, 0.000, 0.619], [0.276, 0.500, 0.381], [0.724, 0.500, 0.619], [0.776, 0.000, 0.381]]}



# 3
{"formula": "Ce4SbTe2Br", "functional": "PBE", "state": "optimized geometry", "e_tot_ev_per_atom": -5.699, "magmom_total_mub_per_atom": 0.55, "formation_energy_uncorrected_mev_per_atom": -1223, "spacegroup": "No. 10", "lattice": [[7.558, 0.000, 0.000], [0.000, 4.477, 0.000], [-2.649, 0.000, 7.304]], "species": ["Ce", "Ce", "Ce", "Ce", "Sb", "Te", "Te", "Br"], "frac_coords": [[0.244, 0.000, 0.242], [0.248, 0.500, 0.754], [0.752, 0.500, 0.246], [0.756, 0.000, 0.758], [0.500, 0.000, 0.000], [0.000, 0.000, 0.500], [0.500, 0.500, 0.500], [0.000, 0.500, 0.000]]}



# 4
{"formula": "KAl2Pd2", "functional": "PBE", "state": "optimized geometry", "e_tot_ev_per_atom": -4.253, "magmom_total_mub_per_atom": 0.00, "e_form_ev_per_fu": -2.3, "e_above_lowest_polymorph_ev_per_atom": 0.000, "spacegroup": "No. 127", "lattice": [[7.997, 0.000, 0.000], [0.000, 7.997, 0.000], [0.000, 0.000, 2.820]], "species": ["K", "K", "Al", "Al", "Al", "Al", "Pd", "Pd", "Pd", "Pd"], "frac_coords": [[0.000, 0.000, 0.000], [0.500, 0.500, 0.000], [0.125, 0.375, 0.500], [0.375, 0.875, 0.500], [0.625, 0.125, 0.500], [0.875, 0.625, 0.500], [0.163, 0.663, 0.000], [0.337, 0.163, 0.000], [0.663, 0.837, 0.000], [0.837, 0.337, 0.000]]}



# 5
{"formula": "Li2ErAgHg4", "functional": "PBE", "state": "optimized geometry", "e_tot_ev_per_atom": -1.836, "magmom_total_mub_per_atom": 0.00, "e_form_ev_per_fu": -2.2, "spacegroup": "No. 166", "lattice": [[2.377, 1.373, 8.635], [-2.377, 1.373, 8.635], [0.000, -2.745, 8.635]], "species": ["Li", "Li", "Er", "Ag", "Hg", "Hg", "Hg", "Hg"], "frac_coords": [[0.236, 0.236, 0.236], [0.764, 0.764, 0.764], [0.000, 0.000, 0.000], [0.500, 0.500, 0.500], [0.122, 0.122, 0.122], [0.386, 0.386, 0.386], [0.614, 0.614, 0.614], [0.878, 0.878, 0.878]]}



# 6
{"formula": "LiMg2P", "functional": "PBE", "state": "optimized geometry", "e_tot_ev_per_atom": -2.687, "magmom_total_mub_per_atom": 0.00, "e_form_ev_per_fu": -0.2, "spacegroup": "No. 12", "lattice": [[5.897, 0.000, 0.000], [0.000, 9.589, 0.000], [-1.426, 0.000, 2.621]], "species": ["Li", "Li", "Mg", "Mg", "Mg", "Mg", "P", "P"], "frac_coords": [[0.000, 0.000, 0.000], [0.500, 0.500, 0.000], [0.250, 0.250, 0.500], [0.250, 0.750, 0.500], [0.750, 0.250, 0.500], [0.750, 0.750, 0.500], [0.000, 0.500, 0.000], [0.500, 0.000, 0.000]]}



# 7
{"formula": "ZnRh2Au", "functional": "PBE", "state": "optimized geometry", "e_tot_ev_per_atom": -4.851, "magmom_total_mub_per_atom": 0.25, "e_form_ev_per_fu": -0.2, "spacegroup": "No. 166", "lattice": [[2.810, 0.000, 0.000], [-1.405, 2.434, 0.000], [0.000, 0.000, 26.584]], "species": ["Zn", "Zn", "Zn", "Rh", "Rh", "Rh", "Rh", "Rh", "Rh", "Au", "Au", "Au"], "frac_coords": [[0.000, 0.000, 0.000], [0.333, 0.667, 0.667], [0.667, 0.333, 0.333], [0.000, 0.000, 0.256], [0.000, 0.000, 0.744], [0.333, 0.667, 0.411], [0.333, 0.667, 0.923], [0.667, 0.333, 0.077], [0.667, 0.333, 0.589], [0.000, 0.000, 0.500], [0.333, 0.667, 0.167], [0.667, 0.333, 0.833]]}



# 8
{"formula": "Na2Li3As2", "functional": "PBE", "state": "optimized geometry", "e_tot_ev_per_atom": -3.004, "magmom_total_mub_per_atom": 0.00, "e_form_ev_per_fu": -3.3, "spacegroup": "No. 12", "lattice": [[10.423, 0.000, 0.000], [0.000, 4.338, 0.000], [-2.555, 0.000, 6.496]], "species": ["Na", "Na", "Na", "Na", "Li", "Li", "Li", "Li", "Li", "Li", "As", "As", "As", "As"], "frac_coords": [[0.157, 0.000, 0.293], [0.343, 0.500, 0.707], [0.657, 0.500, 0.293], [0.843, 0.000, 0.707], [0.000, 0.500, 0.500], [0.149, 0.500, 0.927], [0.351, 0.000, 0.073], [0.500, 0.000, 0.500], [0.649, 0.000, 0.927], [0.851, 0.500, 0.073], [0.132, 0.000, 0.729], [0.368, 0.500, 0.271], [0.632, 0.500, 0.729], [0.868, 0.000, 0.271]]}



# 9
{"formula": "ZrIn5", "functional": "PBE", "state": "optimized geometry", "e_tot_ev_per_atom": -3.714, "magmom_total_mub_per_atom": 0.00, "e_form_ev_per_fu": 0.0, "e_above_lowest_polymorph_ev_per_atom": 0.043, "spacegroup": "No. 65", "lattice": [[5.413, 0.000, 0.000], [0.000, 15.552, 0.000], [0.000, 0.000, 3.525]], "species": ["Zr", "Zr", "In", "In", "In", "In", "In", "In", "In", "In", "In", "In"], "frac_coords": [[0.000, 0.000, 0.000], [0.500, 0.500, 0.000], [0.000, 0.166, 0.500], [0.000, 0.337, 0.000], [0.000, 0.500, 0.500], [0.000, 0.663, 0.000], [0.000, 0.834, 0.500], [0.500, 0.000, 0.500], [0.500, 0.163, 0.000], [0.500, 0.334, 0.500], [0.500, 0.666, 0.500], [0.500, 0.837, 0.000]]}



# 10
{"formula": "HfCu2Ge2", "functional": "PBE", "state": "optimized geometry", "e_tot_ev_per_atom": -5.559, "magmom_total_mub_per_atom": 0.00, "e_form_ev_per_fu": -0.4, "spacegroup": "No. 127", "lattice": [[7.249, 0.000, 0.000], [0.000, 7.249, 0.000], [0.000, 0.000, 2.985]], "species": ["Hf", "Hf", "Cu", "Cu", "Cu", "Cu", "Ge", "Ge", "Ge", "Ge"], "frac_coords": [[0.000, 0.000, 0.000], [0.500, 0.500, 0.000], [0.119, 0.381, 0.000], [0.381, 0.881, 0.000], [0.619, 0.119, 0.000], [0.881, 0.619, 0.000], [0.181, 0.681, 0.500], [0.319, 0.181, 0.500], [0.681, 0.819, 0.500], [0.819, 0.319, 0.500]]}



# 11
{"formula": "EuTmGaSn", "functional": "PBE", "state": "optimized geometry", "e_tot_ev_per_atom": -5.959, "magmom_total_mub_per_atom": 1.77, "e_form_ev_per_fu": -2.1, "spacegroup": "No. 216", "lattice": [[7.462, 0.000, 0.000], [0.000, 7.462, 0.000], [0.000, 0.000, 7.462]], "species": ["Eu", "Eu", "Eu", "Eu", "Tm", "Tm", "Tm", "Tm", "Ga", "Ga", "Ga", "Ga", "Sn", "Sn", "Sn", "Sn"], "frac_coords": [[0.000, 0.000, 0.000], [0.000, 0.500, 0.500], [0.500, 0.000, 0.500], [0.500, 0.500, 0.000], [0.000, 0.000, 0.500], [0.000, 0.500, 0.000], [0.500, 0.000, 0.000], [0.500, 0.500, 0.500], [0.250, 0.250, 0.750], [0.250, 0.750, 0.250], [0.750, 0.250, 0.250], [0.750, 0.750, 0.750], [0.250, 0.250, 0.250], [0.250, 0.750, 0.750], [0.750, 0.250, 0.750], [0.750, 0.750, 0.250]]}



# 12
{"formula": "LiP2Rh", "functional": "PBE", "state": "optimized geometry", "e_tot_ev_per_atom": -5.403, "magmom_total_mub_per_atom": 0.00, "e_form_ev_per_fu": -1.5, "e_above_lowest_polymorph_ev_per_atom": 0.051, "spacegroup": "No. 8", "lattice": [[8.289, 0.000, 0.000], [0.000, 3.451, 0.000], [-1.314, 0.000, 4.056]], "species": ["Li", "Li", "P", "P", "P", "P", "Rh", "Rh"], "frac_coords": [[0.000, 0.000, 0.000], [0.500, 0.500, 0.000], [0.063, 0.500, 0.645], [0.247, 0.500, 0.147], [0.563, 0.000, 0.645], [0.747, 0.000, 0.147], [0.249, 0.000, 0.550], [0.749, 0.500, 0.550]]}



# 13
{"formula": "Zn2CrCo2", "functional": "PBE", "state": "optimized geometry", "e_tot_ev_per_atom": -5.005, "magmom_total_mub_per_atom": 0.71, "e_form_ev_per_fu": 1.4, "e_above_lowest_polymorph_ev_per_atom": 0.253, "spacegroup": "No. 127", "lattice": [[6.776, 0.000, 0.000], [0.000, 6.776, 0.000], [0.000, 0.000, 2.774]], "species": ["Zn", "Zn", "Zn", "Zn", "Cr", "Cr", "Co", "Co", "Co", "Co"], "frac_coords": [[0.127, 0.373, 0.000], [0.373, 0.873, 0.000], [0.627, 0.127, 0.000], [0.873, 0.627, 0.000], [0.000, 0.000, 0.000], [0.500, 0.500, 0.000], [0.173, 0.673, 0.500], [0.327, 0.173, 0.500], [0.673, 0.827, 0.500], [0.827, 0.327, 0.500]]}



# 14
{"formula": "HoTcSb", "functional": "PBE", "state": "optimized geometry", "e_tot_ev_per_atom": -6.839, "magmom_total_mub_per_atom": 0.00, "formation_energy_uncorrected_mev_per_atom": -484, "spacegroup": "No. 129", "lattice": [[4.519, 0.000, 0.000], [0.000, 4.519, 0.000], [0.000, 0.000, 6.728]], "species": ["Ho", "Ho", "Tc", "Tc", "Sb", "Sb"], "frac_coords": [[0.250, 0.250, 0.211], [0.750, 0.750, 0.789], [0.250, 0.750, 0.500], [0.750, 0.250, 0.500], [0.250, 0.250, 0.727], [0.750, 0.750, 0.273]]}



# 15
{"formula": "TaBe3", "functional": "PBE", "state": "optimized geometry", "e_tot_ev_per_atom": -5.537, "magmom_total_mub_per_atom": 0.00, "e_form_ev_per_fu": 0.9, "spacegroup": "No. 139", "lattice": [[3.737, 0.000, 0.000], [0.000, 3.737, 0.000], [0.000, 0.000, 6.288]], "species": ["Ta", "Ta", "Be", "Be", "Be", "Be", "Be", "Be"], "frac_coords": [[0.000, 0.000, 0.000], [0.500, 0.500, 0.500], [0.000, 0.000, 0.500], [0.000, 0.500, 0.250], [0.000, 0.500, 0.750], [0.500, 0.000, 0.250], [0.500, 0.000, 0.750], [0.500, 0.500, 0.000]]}



# 16
{"formula": "KNdIn4", "functional": "PBE", "state": "optimized geometry", "e_tot_ev_per_atom": -3.014, "magmom_total_mub_per_atom": 0.00, "e_form_ev_per_fu": -1.3, "spacegroup": "No. 216", "lattice": [[0.000, 4.400, 4.400], [4.400, 0.000, 4.400], [4.400, 4.400, 0.000]], "species": ["K", "Nd", "In", "In", "In", "In"], "frac_coords": [[0.000, 0.000, 0.000], [0.250, 0.250, 0.250], [0.126, 0.625, 0.625], [0.625, 0.126, 0.625], [0.625, 0.625, 0.126], [0.625, 0.625, 0.625]]}



# 17
{"formula": "P2RhPb", "functional": "PBE", "state": "optimized geometry", "e_tot_ev_per_atom": -5.477, "magmom_total_mub_per_atom": 0.00, "e_form_ev_per_fu": 0.0, "spacegroup": "No. 123", "lattice": [[3.300, 0.000, 0.000], [0.000, 3.300, 0.000], [0.000, 0.000, 6.799]], "species": ["P", "P", "Rh", "Pb"], "frac_coords": [[0.000, 0.000, 0.166], [0.000, 0.000, 0.834], [0.500, 0.500, 0.000], [0.500, 0.500, 0.500]]}



# 18
{"formula": "LiY2AlO5", "functional": "PBE", "state": "optimized geometry", "e_tot_ev_per_atom": -7.648, "magmom_total_mub_per_atom": 0.00, "formation_energy_uncorrected_mev_per_atom": -2829, "spacegroup": "No. 127", "lattice": [[6.418, 0.000, 0.000], [0.000, 6.418, 0.000], [0.000, 0.000, 5.573]], "species": ["Li", "Li", "Y", "Y", "Y", "Y", "Al", "Al", "O", "O", "O", "O", "O", "O", "O", "O", "O", "O"], "frac_coords": [[0.000, 0.000, 0.000], [0.500, 0.500, 0.000], [0.179, 0.321, 0.500], [0.321, 0.821, 0.500], [0.679, 0.179, 0.500], [0.821, 0.679, 0.500], [0.000, 0.500, 0.000], [0.500, 0.000, 0.000], [0.000, 0.000, 0.500], [0.136, 0.636, 0.235], [0.136, 0.636, 0.765], [0.364, 0.136, 0.235], [0.364, 0.136, 0.765], [0.500, 0.500, 0.500], [0.636, 0.864, 0.235], [0.636, 0.864, 0.765], [0.864, 0.364, 0.235], [0.864, 0.364, 0.765]]}



# 19
{"formula": "In2SnHgPb2", "functional": "PBE", "state": "optimized geometry", "e_tot_ev_per_atom": -2.833, "magmom_total_mub_per_atom": 0.00, "e_form_ev_per_fu": 0.2, "spacegroup": "No. 26", "lattice": [[5.130, 0.000, 0.000], [0.000, 9.775, 0.000], [0.000, 0.000, 6.860]], "species": ["In", "In", "In", "In", "Sn", "Sn", "Hg", "Hg", "Pb", "Pb", "Pb", "Pb"], "frac_coords": [[0.000, 0.137, 0.000], [0.000, 0.863, 0.500], [0.500, 0.327, 0.731], [0.500, 0.673, 0.231], [0.000, 0.184, 0.508], [0.000, 0.816, 0.008], [0.500, 0.013, 0.750], [0.500, 0.987, 0.250], [0.000, 0.478, 0.961], [0.000, 0.522, 0.461], [0.500, 0.313, 0.235], [0.500, 0.687, 0.735]]}



# 20
{"formula": "YTa2Mo2", "functional": "PBE", "state": "optimized geometry", "e_tot_ev_per_atom": -10.056, "magmom_total_mub_per_atom": 0.00, "e_form_ev_per_fu": 1.5, "e_above_lowest_polymorph_ev_per_atom": 0.011, "spacegroup": "No. 139", "lattice": [[4.286, 0.000, 0.000], [0.000, 4.286, 0.000], [0.000, 0.000, 11.465]], "species": ["Y", "Y", "Ta", "Ta", "Ta", "Ta", "Mo", "Mo", "Mo", "Mo"], "frac_coords": [[0.000, 0.000, 0.000], [0.500, 0.500, 0.500], [0.000, 0.500, 0.250], [0.000, 0.500, 0.750], [0.500, 0.000, 0.250], [0.500, 0.000, 0.750], [0.000, 0.000, 0.388], [0.000, 0.000, 0.612], [0.500, 0.500, 0.112], [0.500, 0.500, 0.888]]}